1.
## Mo3S7Cl4 (GGA-PBE)

Data for a relaxed Mo3S7Cl4 crystal.

Output
- Total energy: -5.624 eV per atom

```
data_Mo3S7Cl4
_chemical_formula_sum 'Mo12 S28 Cl16'
_symmetry_space_group_name_H-M 'P 1 21/c 1'
_symmetry_Int_Tables_number 14
_cell_length_a 9.485
_cell_length_b 12.192
_cell_length_c 14.049
_cell_angle_alpha 90.00
_cell_angle_beta 122.66
_cell_angle_gamma 90.00
loop_
_symmetry_equiv_pos_as_xyz
'x,y,z'
'-x,-y,-z'
'-x,y+1/2,-z+1/2'
'x,-y+1/2,z+1/2'
loop_
_atom_site_label
_atom_site_fract_x
_atom_site_fract_y
_atom_site_fract_z
_atom_site_occupancy
Mo1 0.099 0.160 0.277 1
Mo2 0.140 0.118 0.782 1
Mo3 0.379 0.246 0.292 1
S1 0.094 0.219 0.910 1
S2 0.097 0.235 0.636 1
S3 0.118 0.708 0.747 1
S4 0.320 0.044 0.280 1
S5 0.383 0.121 0.426 1
S6 0.394 0.050 0.790 1
S7 0.431 0.120 0.933 1
Cl1 0.031 0.012 0.375 1
Cl2 0.120 0.550 0.386 1
Cl3 0.318 0.716 0.096 1
Cl4 0.432 0.236 0.136 1
```

---

2.
## MoS4Cl (GGA-PBE)

Data for a relaxed MoS4Cl crystal.

Output
- Total energy: -4.693 eV per atom

```
data_MoS4Cl
_chemical_formula_sum 'Mo2 S8 Cl2'
_symmetry_space_group_name_H-M 'C m m 2'
_symmetry_Int_Tables_number 35
_cell_length_a 3.438
_cell_length_b 11.886
_cell_length_c 6.742
_cell_angle_alpha 90.00
_cell_angle_beta 90.00
_cell_angle_gamma 90.00
loop_
_symmetry_equiv_pos_as_xyz
'x,y,z'
'-x,-y,z'
'-x,y,z'
'x,-y,z'
'x+1/2,y+1/2,z'
'-x+1/2,-y+1/2,z'
'-x+1/2,y+1/2,z'
'x+1/2,-y+1/2,z'
loop_
_atom_site_label
_atom_site_fract_x
_atom_site_fract_y
_atom_site_fract_z
_atom_site_occupancy
Mo1 0.000 0.000 0.000 1
S1 0.000 0.139 0.773 1
S2 0.000 0.378 0.135 1
Cl1 0.000 0.500 0.465 1
```

---

3.
## MoS4Cl (GGA-PBE)

Data for a relaxed MoS4Cl crystal.

Output
- Total energy: -4.595 eV per atom

```
data_MoS4Cl
_chemical_formula_sum 'Mo2 S8 Cl2'
_symmetry_space_group_name_H-M 'A m m 2'
_symmetry_Int_Tables_number 38
_cell_length_a 21.565
_cell_length_b 3.148
_cell_length_c 5.453
_cell_angle_alpha 90.00
_cell_angle_beta 90.00
_cell_angle_gamma 90.00
loop_
_symmetry_equiv_pos_as_xyz
'x,y,z'
'-x,-y,z'
'-x,y,z'
'x,-y,z'
'x,y+1/2,z+1/2'
'-x,-y+1/2,z+1/2'
'-x,y+1/2,z+1/2'
'x,-y+1/2,z+1/2'
loop_
_atom_site_label
_atom_site_fract_x
_atom_site_fract_y
_atom_site_fract_z
_atom_site_occupancy
Mo1 0.000 0.000 0.000 1
S1 0.073 0.000 0.333 1
S2 0.409 0.000 0.833 1
Cl1 0.500 0.000 0.500 1
```

---

4.
## MoSe3SCl (GGA-PBE)

Data for a relaxed MoSe3SCl crystal.

Output
- Relative energy among the computed polymorphs: 0.27 eV per formula unit
- Total energy: -4.963 eV per atom

```
data_MoSe3SCl
_chemical_formula_sum 'Mo2 Se6 S2 Cl2'
_symmetry_space_group_name_H-M 'P -1'
_symmetry_Int_Tables_number 2
_cell_length_a 6.395
_cell_length_b 7.797
_cell_length_c 7.947
_cell_angle_alpha 61.17
_cell_angle_beta 75.63
_cell_angle_gamma 65.81
loop_
_symmetry_equiv_pos_as_xyz
'x,y,z'
'-x,-y,-z'
loop_
_atom_site_label
_atom_site_fract_x
_atom_site_fract_y
_atom_site_fract_z
_atom_site_occupancy
Mo1 0.220 0.000 0.000 1
Se1 0.013 0.165 0.694 1
Se2 0.386 0.103 0.203 1
Se3 0.451 0.248 0.756 1
S1 0.126 0.694 0.087 1
Cl1 0.259 0.628 0.766 1
```

---

5.
## MoSe2S2Cl (GGA-PBE)

Data for a relaxed MoSe2S2Cl crystal.

Output
- Relative energy among the computed polymorphs: 0.00 eV per formula unit
- Total energy: -5.120 eV per atom

```
data_MoSe2S2Cl
_chemical_formula_sum 'Mo2 Se4 S4 Cl2'
_symmetry_space_group_name_H-M 'P -1'
_symmetry_Int_Tables_number 2
_cell_length_a 6.258
_cell_length_b 7.789
_cell_length_c 7.805
_cell_angle_alpha 117.43
_cell_angle_beta 104.82
_cell_angle_gamma 98.34
loop_
_symmetry_equiv_pos_as_xyz
'x,y,z'
'-x,-y,-z'
loop_
_atom_site_label
_atom_site_fract_x
_atom_site_fract_y
_atom_site_fract_z
_atom_site_occupancy
Mo1 0.222 0.000 0.000 1
Se1 0.132 0.319 0.232 1
Se2 0.393 0.928 0.702 1
S1 0.016 0.841 0.138 1
S2 0.463 0.772 0.014 1
Cl1 0.258 0.379 0.591 1
```

---

6.
## MoSe2S2Cl (GGA-PBE)

Data for a relaxed MoSe2S2Cl crystal.

Output
- Relative energy among the computed polymorphs: 0.07 eV per formula unit
- Total energy: -5.109 eV per atom

```
data_MoSe2S2Cl
_chemical_formula_sum 'Mo2 Se4 S4 Cl2'
_symmetry_space_group_name_H-M 'P -1'
_symmetry_Int_Tables_number 2
_cell_length_a 6.275
_cell_length_b 7.845
_cell_length_c 7.982
_cell_angle_alpha 61.63
_cell_angle_beta 66.87
_cell_angle_gamma 75.49
loop_
_symmetry_equiv_pos_as_xyz
'x,y,z'
'-x,-y,-z'
loop_
_atom_site_label
_atom_site_fract_x
_atom_site_fract_y
_atom_site_fract_z
_atom_site_occupancy
Mo1 0.224 0.000 0.000 1
Se1 0.134 0.078 0.684 1
Se2 0.457 0.750 0.242 1
S1 0.016 0.714 0.147 1
S2 0.398 0.206 0.075 1
Cl1 0.262 0.774 0.620 1
```

---

7.
## MoSeS3Cl (GGA-PBE)

Data for a relaxed MoSeS3Cl crystal.

Output
- Relative energy among the computed polymorphs: 0.25 eV per formula unit
- Total energy: -5.193 eV per atom

```
data_MoSeS3Cl
_chemical_formula_sum 'Mo2 Se2 S6 Cl2'
_symmetry_space_group_name_H-M 'P -1'
_symmetry_Int_Tables_number 2
_cell_length_a 6.231
_cell_length_b 7.651
_cell_length_c 7.665
_cell_angle_alpha 104.89
_cell_angle_beta 113.91
_cell_angle_gamma 104.78
loop_
_symmetry_equiv_pos_as_xyz
'x,y,z'
'-x,-y,-z'
loop_
_atom_site_label
_atom_site_fract_x
_atom_site_fract_y
_atom_site_fract_z
_atom_site_occupancy
Mo1 0.225 0.499 0.000 1
Se1 0.296 0.242 0.752 1
S1 0.172 0.790 0.160 1
S2 0.181 0.587 0.308 1
S3 0.483 0.295 0.093 1
Cl1 0.112 0.258 0.377 1
```

---

8.
## MoSe2S2Cl (GGA-PBE)

Data for a relaxed MoSe2S2Cl crystal.

Output
- Relative energy among the computed polymorphs: 0.32 eV per formula unit
- Total energy: -5.067 eV per atom

```
data_MoSe2S2Cl
_chemical_formula_sum 'Mo2 Se4 S4 Cl2'
_symmetry_space_group_name_H-M 'P -1'
_symmetry_Int_Tables_number 2
_cell_length_a 6.296
_cell_length_b 7.583
_cell_length_c 7.722
_cell_angle_alpha 61.35
_cell_angle_beta 66.04
_cell_angle_gamma 80.62
loop_
_symmetry_equiv_pos_as_xyz
'x,y,z'
'-x,-y,-z'
loop_
_atom_site_label
_atom_site_fract_x
_atom_site_fract_y
_atom_site_fract_z
_atom_site_occupancy
Mo1 0.222 0.499 0.001 1
Se1 0.008 0.820 0.858 1
Se2 0.390 0.289 0.306 1
S1 0.128 0.404 0.780 1
S2 0.457 0.743 0.990 1
Cl1 0.252 0.727 0.408 1
```

---

9.
## MoSe2S2Cl (GGA-PBE)

Data for a relaxed MoSe2S2Cl crystal.

Output
- Relative energy among the computed polymorphs: 0.15 eV per formula unit
- Total energy: -5.096 eV per atom

```
data_MoSe2S2Cl
_chemical_formula_sum 'Mo2 Se4 S4 Cl2'
_symmetry_space_group_name_H-M 'P -1'
_symmetry_Int_Tables_number 2
_cell_length_a 6.313
_cell_length_b 7.798
_cell_length_c 7.816
_cell_angle_alpha 106.03
_cell_angle_beta 104.56
_cell_angle_gamma 113.87
loop_
_symmetry_equiv_pos_as_xyz
'x,y,z'
'-x,-y,-z'
loop_
_atom_site_label
_atom_site_fract_x
_atom_site_fract_y
_atom_site_fract_z
_atom_site_occupancy
Mo1 0.220 0.000 0.000 1
Se1 0.298 0.751 0.751 1
Se2 0.485 0.100 0.789 1
S1 0.172 0.163 0.288 1
S2 0.182 0.306 0.090 1
Cl1 0.117 0.379 0.770 1
```

---

10.
## MoSe3SCl (GGA-PBE)

Data for a relaxed MoSe3SCl crystal.

Output
- Relative energy among the computed polymorphs: 0.10 eV per formula unit
- Total energy: -4.991 eV per atom

```
data_MoSe3SCl
_chemical_formula_sum 'Mo2 Se6 S2 Cl2'
_symmetry_space_group_name_H-M 'P -1'
_symmetry_Int_Tables_number 2
_cell_length_a 6.341
_cell_length_b 7.984
_cell_length_c 8.000
_cell_angle_alpha 119.43
_cell_angle_beta 104.33
_cell_angle_gamma 98.51
loop_
_symmetry_equiv_pos_as_xyz
'x,y,z'
'-x,-y,-z'
loop_
_atom_site_label
_atom_site_fract_x
_atom_site_fract_y
_atom_site_fract_z
_atom_site_occupancy
Mo1 0.223 0.000 0.000 1
Se1 0.015 0.837 0.145 1
Se2 0.134 0.317 0.238 1
Se3 0.393 0.918 0.704 1
S1 0.461 0.778 0.010 1
Cl1 0.257 0.375 0.594 1
```

---

11.
## MoSeS3Cl (GGA-PBE)

Data for a relaxed MoSeS3Cl crystal.

Output
- Relative energy among the computed polymorphs: 0.00 eV per formula unit
- Total energy: -5.234 eV per atom

```
data_MoSeS3Cl
_chemical_formula_sum 'Mo2 Se2 S6 Cl2'
_symmetry_space_group_name_H-M 'P -1'
_symmetry_Int_Tables_number 2
_cell_length_a 6.187
_cell_length_b 7.732
_cell_length_c 7.894
_cell_angle_alpha 118.32
_cell_angle_beta 98.22
_cell_angle_gamma 104.71
loop_
_symmetry_equiv_pos_as_xyz
'x,y,z'
'-x,-y,-z'
loop_
_atom_site_label
_atom_site_fract_x
_atom_site_fract_y
_atom_site_fract_z
_atom_site_occupancy
Mo1 0.225 0.000 0.000 1
Se1 0.134 0.239 0.318 1
S1 0.017 0.141 0.847 1
S2 0.400 0.720 0.937 1
S3 0.465 0.020 0.776 1
Cl1 0.260 0.598 0.378 1
```

---

12.
## MoSeS3Cl (GGA-PBE)

Data for a relaxed MoSeS3Cl crystal.

Output
- Relative energy among the computed polymorphs: 0.21 eV per formula unit
- Total energy: -5.199 eV per atom

```
data_MoSeS3Cl
_chemical_formula_sum 'Mo2 Se2 S6 Cl2'
_symmetry_space_group_name_H-M 'P -1'
_symmetry_Int_Tables_number 2
_cell_length_a 6.225
_cell_length_b 7.611
_cell_length_c 7.701
_cell_angle_alpha 119.14
_cell_angle_beta 104.74
_cell_angle_gamma 98.67
loop_
_symmetry_equiv_pos_as_xyz
'x,y,z'
'-x,-y,-z'
loop_
_atom_site_label
_atom_site_fract_x
_atom_site_fract_y
_atom_site_fract_z
_atom_site_occupancy
Mo1 0.221 0.000 0.499 1
Se1 0.387 0.911 0.190 1
S1 0.009 0.828 0.628 1
S2 0.127 0.313 0.719 1
S3 0.461 0.768 0.512 1
Cl1 0.256 0.373 0.090 1
```

---

Look up the total energy of the seventh one. -5.193 eV per atom